Pa5Ir2Rh4: relaxed, PBE-GGA.

formation energy from the elements = -8.056 eV/f.u.

Lattice parameters (Å, degrees): 6.985 18.089 3.513 90.00 90.00 90.00
Atoms (fractional coordinates):
Pa  0.000  0.000  0.000
Pa  0.095  0.426  0.000
Pa  0.158  0.205  0.000
Pa  0.342  0.705  0.000
Pa  0.405  0.926  0.000
Pa  0.500  0.500  0.000
Pa  0.595  0.074  0.000
Pa  0.658  0.295  0.000
Pa  0.842  0.795  0.000
Pa  0.905  0.574  0.000
Ir  0.028  0.698  0.500
Ir  0.472  0.198  0.500
Ir  0.528  0.802  0.500
Ir  0.972  0.302  0.500
Rh  0.135  0.856  0.500
Rh  0.245  0.066  0.500
Rh  0.255  0.566  0.500
Rh  0.365  0.356  0.500
Rh  0.635  0.644  0.500
Rh  0.745  0.434  0.500
Rh  0.755  0.934  0.500
Rh  0.865  0.144  0.500

=====

Pa2IrRh: relaxed, PBE-GGA.

ΔE to the lowest computed polymorph = 0.658 eV/atom
formation energy from the elements = -0.439 eV/f.u.

Lattice parameters (Å, degrees): 8.917 8.917 8.917 23.27 23.27 23.27
Atoms (fractional coordinates):
Pa  0.095  0.095  0.095
Pa  0.905  0.905  0.905
Ir  0.500  0.500  0.500
Rh  0.000  0.000  0.000

=====

PaIrRh: relaxed, PBE-GGA.

ΔE to the lowest computed polymorph = 0.000 eV/atom
formation energy from the elements = -2.451 eV/f.u.

Lattice parameters (Å, degrees): 5.076 5.076 5.731 90.00 90.00 131.23
Atoms (fractional coordinates):
Pa  0.169  0.831  0.750
Pa  0.831  0.169  0.250
Ir  0.500  0.500  0.000
Ir  0.500  0.500  0.500
Rh  0.132  0.868  0.250
Rh  0.868  0.132  0.750

=====

PaIr2Rh: relaxed, PBE-GGA.

ΔE to the lowest computed polymorph = 0.000 eV/atom
formation energy from the elements = -3.482 eV/f.u.

Lattice parameters (Å, degrees): 4.076 4.076 4.082 90.00 90.00 90.00
Atoms (fractional coordinates):
Pa  0.000  0.000  0.000
Ir  0.000  0.500  0.500
Ir  0.500  0.000  0.500
Rh  0.500  0.500  0.000

=====

Pa2IrRh: relaxed, PBE-GGA.

ΔE to the lowest computed polymorph = 0.000 eV/atom
formation energy from the elements = -3.071 eV/f.u.

Lattice parameters (Å, degrees): 6.334 6.334 8.732 88.72 88.79 66.89
Atoms (fractional coordinates):
Pa  0.145  0.147  0.100
Pa  0.150  0.150  0.639
Pa  0.351  0.350  0.861
Pa  0.354  0.354  0.400
Pa  0.646  0.646  0.600
Pa  0.649  0.650  0.139
Pa  0.850  0.850  0.361
Pa  0.855  0.853  0.900
Ir  0.129  0.686  0.630
Ir  0.187  0.628  0.131
Ir  0.813  0.372  0.869
Ir  0.871  0.314  0.370
Rh  0.311  0.879  0.368
Rh  0.378  0.811  0.868
Rh  0.622  0.189  0.132
Rh  0.689  0.121  0.632

=====

PaIrRh3: relaxed, PBE-GGA.

formation energy from the elements = -2.427 eV/f.u.

Lattice parameters (Å, degrees): 4.131 6.437 6.424 90.00 90.00 90.00
Atoms (fractional coordinates):
Pa  0.250  0.250  0.248
Pa  0.750  0.750  0.752
Ir  0.250  0.750  0.053
Ir  0.750  0.250  0.947
Rh  0.250  0.048  0.755
Rh  0.250  0.452  0.755
Rh  0.250  0.750  0.453
Rh  0.750  0.250  0.547
Rh  0.750  0.548  0.245
Rh  0.750  0.952  0.245

=====

Pa4Ir3Rh3: relaxed, PBE-GGA.

formation energy from the elements = -5.980 eV/f.u.

Lattice parameters (Å, degrees): 7.988 7.988 7.988 109.47 109.47 109.47
Atoms (fractional coordinates):
Pa  0.000  0.252  0.500
Pa  0.000  0.752  0.500
Pa  0.248  0.248  0.248
Pa  0.252  0.500  0.000
Pa  0.500  0.000  0.252
Pa  0.500  0.000  0.752
Pa  0.748  0.748  0.748
Pa  0.752  0.500  0.000
Ir  0.125  0.750  0.875
Ir  0.250  0.625  0.375
Ir  0.375  0.250  0.625
Ir  0.625  0.375  0.250
Ir  0.750  0.875  0.125
Ir  0.875  0.125  0.750
Rh  0.125  0.875  0.250
Rh  0.250  0.125  0.875
Rh  0.375  0.625  0.750
Rh  0.625  0.750  0.375
Rh  0.750  0.375  0.625
Rh  0.875  0.250  0.125

=====

Pa3Ir2Rh: relaxed, PBE-GGA.

formation energy from the elements = -4.352 eV/f.u.

Lattice parameters (Å, degrees): 6.228 9.772 7.907 90.00 90.73 90.00
Atoms (fractional coordinates):
Pa  0.078  0.110  0.220
Pa  0.078  0.390  0.720
Pa  0.353  0.598  0.913
Pa  0.353  0.902  0.413
Pa  0.364  0.146  0.914
Pa  0.364  0.354  0.414
Pa  0.636  0.646  0.586
Pa  0.636  0.854  0.086
Pa  0.647  0.098  0.587
Pa  0.647  0.402  0.087
Pa  0.922  0.610  0.280
Pa  0.922  0.890  0.780
Ir  0.140  0.664  0.589
Ir  0.140  0.836  0.089
Ir  0.403  0.624  0.274
Ir  0.403  0.876  0.774
Ir  0.597  0.124  0.226
Ir  0.597  0.376  0.726
Ir  0.860  0.164  0.911
Ir  0.860  0.336  0.411
Rh  0.124  0.113  0.595
Rh  0.124  0.387  0.095
Rh  0.876  0.613  0.905
Rh  0.876  0.887  0.405

=====

no.,E (eV for the cell shown)
1,-205.33
2,-35.64
3,-56.32
4,-38.05
5,-153.10
6,-85.68
7,-185.20
8,-231.65